A plane-wave DFT calculation with meta-GGA SCAN was carried out for a PBEsol-optimized structure of Tl2In2Ga.

Structure (POSCAR):
```
Tl2In2Ga
1.0
4.295 0.000 0.000
0.000 4.295 0.000
-2.148 -2.148 7.532
Tl Ga In
2 1 2
Direct
0.250 0.750 0.500
0.750 0.250 0.500
0.000 0.000 0.000
0.406 0.406 0.812
0.594 0.594 0.188
```

Computed properties:
* offset from the most stable computed form: 171 meV per atom
* SG: I4/mmm (139)
* formation energy from the elements: 0.27 eV per atom
* density: 8.5 Mg/m³